Computed, not measured: a relaxed structure of TePdRuAu2 at the PBE-GGA level of DFT.

Cell and atoms, written as CIF:
```
data_TePdRuAu2
_chemical_formula_sum 'Te1 Pd1 Ru1 Au2'
_cell_length_a 5.143
_cell_length_b 4.889
_cell_length_c 5.143
_cell_angle_alpha 90.00
_cell_angle_beta 90.00
_cell_angle_gamma 90.00
_symmetry_space_group_name_H-M 'P 1'
_symmetry_Int_Tables_number 1
_symmetry_space_group_name_Hall 'P 1'
loop_
_atom_site_label
_atom_site_fract_x
_atom_site_fract_y
_atom_site_fract_z
Ru1 0.500 0.500 0.500
Te1 0.000 0.000 0.000
Au1 0.000 0.000 0.500
Au2 0.500 0.000 0.000
Pd1 0.000 0.500 0.000
```

Results
Raw total energy ... -0.267 Ry/atom

Computed, not measured: a relaxed structure of UPdRuAu at the PBE-GGA level of DFT.

Cell and atoms, written as CIF:
```
data_UPdRuAu
_chemical_formula_sum 'U1 Pd1 Ru1 Au1'
_cell_length_a 4.673
_cell_length_b 4.673
_cell_length_c 4.673
_cell_angle_alpha 60.00
_cell_angle_beta 60.00
_cell_angle_gamma 60.00
_symmetry_space_group_name_H-M 'P 1'
_symmetry_Int_Tables_number 1
_symmetry_space_group_name_Hall 'P 1'
loop_
_atom_site_label
_atom_site_fract_x
_atom_site_fract_y
_atom_site_fract_z
Au1 0.000 0.000 0.000
U1 0.500 0.500 0.500
Pd1 0.250 0.250 0.250
Ru1 0.750 0.750 0.750
```

Results
Formation enthalpy at 0 K ... -0.174 eV per atom

Computed, not measured: a relaxed structure of ZnPdRuAu2 at the PBE-GGA level of DFT.

Cell and atoms, written as CIF:
```
data_ZnPdRuAu2
_chemical_formula_sum 'Zn1 Pd1 Ru1 Au2'
_cell_length_a 5.031
_cell_length_b 4.675
_cell_length_c 5.031
_cell_angle_alpha 90.00
_cell_angle_beta 90.00
_cell_angle_gamma 90.00
_symmetry_space_group_name_H-M 'P 1'
_symmetry_Int_Tables_number 1
_symmetry_space_group_name_Hall 'P 1'
loop_
_atom_site_label
_atom_site_fract_x
_atom_site_fract_y
_atom_site_fract_z
Ru1 0.000 0.500 0.000
Zn1 0.500 0.500 0.500
Au1 0.000 0.000 0.500
Au2 0.500 0.000 0.000
Pd1 0.000 0.000 0.000
```

Results
Formation enthalpy at 0 K ... 1.202 eV per atom

Computed, not measured: a relaxed structure of ZrPdRuAu at the PBE-GGA level of DFT.

Cell and atoms, written as CIF:
```
data_ZrPdRuAu
_chemical_formula_sum 'Zr1 Pd1 Ru1 Au1'
_cell_length_a 4.591
_cell_length_b 4.591
_cell_length_c 4.591
_cell_angle_alpha 60.00
_cell_angle_beta 60.00
_cell_angle_gamma 60.00
_symmetry_space_group_name_H-M 'P 1'
_symmetry_Int_Tables_number 1
_symmetry_space_group_name_Hall 'P 1'
loop_
_atom_site_label
_atom_site_fract_x
_atom_site_fract_y
_atom_site_fract_z
Ru1 0.000 0.000 0.000
Au1 0.250 0.250 0.250
Zr1 0.750 0.750 0.750
Pd1 0.500 0.500 0.500
```

Results
Formation enthalpy at 0 K ... -0.288 eV per atom

Computed, not measured: a relaxed structure of Pd2Au2S at the PBE-GGA level of DFT.

Cell and atoms, written as CIF:
```
data_Pd2Au2S
_chemical_formula_sum 'Pd4 Au4 S2'
_cell_length_a 6.781
_cell_length_b 6.781
_cell_length_c 3.887
_cell_angle_alpha 90.00
_cell_angle_beta 90.00
_cell_angle_gamma 90.00
_symmetry_space_group_name_H-M 'P 1'
_symmetry_Int_Tables_number 1
_symmetry_space_group_name_Hall 'P 1'
loop_
_atom_site_label
_atom_site_fract_x
_atom_site_fract_y
_atom_site_fract_z
S1 0.000 0.000 0.000
S2 0.500 0.500 0.000
Au1 0.348 0.848 0.000
Au2 0.848 0.652 0.000
Au3 0.652 0.152 0.000
Au4 0.152 0.348 0.000
Pd1 0.150 0.650 0.500
Pd2 0.650 0.850 0.500
Pd3 0.850 0.350 0.500
Pd4 0.350 0.150 0.500
```

Results
Relative energy among the computed polymorphs ... 0.216 eV per atom

Computed, not measured: a relaxed structure of Pd4AuS at the PBE-GGA level of DFT.

Cell and atoms, written as CIF:
```
data_Pd4AuS
_chemical_formula_sum 'Pd8 Au2 S2'
_cell_length_a 5.325
_cell_length_b 5.545
_cell_length_c 7.295
_cell_angle_alpha 100.71
_cell_angle_beta 111.40
_cell_angle_gamma 89.96
_symmetry_space_group_name_H-M 'P 1'
_symmetry_Int_Tables_number 1
_symmetry_space_group_name_Hall 'P 1'
loop_
_atom_site_label
_atom_site_fract_x
_atom_site_fract_y
_atom_site_fract_z
Pd1 0.498 0.063 0.823
Pd2 0.675 0.437 0.177
Pd3 0.502 0.937 0.177
Pd4 0.325 0.563 0.823
Pd5 0.940 0.896 0.647
Pd6 0.294 0.604 0.353
Pd7 0.060 0.104 0.353
Pd8 0.706 0.396 0.647
Au1 0.902 0.750 0.000
Au2 0.098 0.250 0.000
S1 0.500 0.000 0.500
S2 0.000 0.500 0.500
```

Results
Raw total energy ... -0.352 Ry/atom

Computed, not measured: a relaxed structure of Pd3AuS at the PBE-GGA level of DFT.

Cell and atoms, written as CIF:
```
data_Pd3AuS
_chemical_formula_sum 'Pd3 Au1 S1'
_cell_length_a 4.953
_cell_length_b 4.953
_cell_length_c 4.953
_cell_angle_alpha 90.00
_cell_angle_beta 90.00
_cell_angle_gamma 90.00
_symmetry_space_group_name_H-M 'P 1'
_symmetry_Int_Tables_number 1
_symmetry_space_group_name_Hall 'P 1'
loop_
_atom_site_label
_atom_site_fract_x
_atom_site_fract_y
_atom_site_fract_z
S1 0.500 0.500 0.500
Au1 0.000 0.000 0.000
Pd1 0.000 0.500 0.000
Pd2 0.000 0.000 0.500
Pd3 0.500 0.000 0.000
```

Results
Relative energy among the computed polymorphs ... 1.325 eV per atom

Computed, not measured: a relaxed structure of PdAuS2 at the PBE-GGA level of DFT.

Cell and atoms, written as CIF:
```
data_PdAuS2
_chemical_formula_sum 'Pd2 Au2 S4'
_cell_length_a 5.584
_cell_length_b 5.584
_cell_length_c 6.766
_cell_angle_alpha 65.63
_cell_angle_beta 65.63
_cell_angle_gamma 90.00
_symmetry_space_group_name_H-M 'P 1'
_symmetry_Int_Tables_number 1
_symmetry_space_group_name_Hall 'P 1'
loop_
_atom_site_label
_atom_site_fract_x
_atom_site_fract_y
_atom_site_fract_z
S1 0.606 0.125 0.250
S2 0.144 0.625 0.250
S3 0.375 0.394 0.750
S4 0.875 0.856 0.750
Au1 0.000 0.000 0.000
Au2 0.750 0.250 0.500
Pd1 0.500 0.500 0.000
Pd2 0.250 0.750 0.500
```

Results
Raw total energy ... -0.302 Ry/atom

Computed, not measured: a relaxed structure of Pd2AuS at the PBE-GGA level of DFT.

Cell and atoms, written as CIF:
```
data_Pd2AuS
_chemical_formula_sum 'Pd2 Au1 S1'
_cell_length_a 2.936
_cell_length_b 2.936
_cell_length_c 9.258
_cell_angle_alpha 80.88
_cell_angle_beta 80.88
_cell_angle_gamma 60.00
_symmetry_space_group_name_H-M 'P 1'
_symmetry_Int_Tables_number 1
_symmetry_space_group_name_Hall 'P 1'
loop_
_atom_site_label
_atom_site_fract_x
_atom_site_fract_y
_atom_site_fract_z
S1 0.500 0.500 0.500
Au1 0.000 0.000 0.000
Pd1 0.101 0.101 0.698
Pd2 0.899 0.899 0.302
```

Results
Relative energy among the computed polymorphs ... 0.167 eV per atom

Computed, not measured: a relaxed structure of Pd7AuS2 at the PBE-GGA level of DFT.

Cell and atoms, written as CIF:
```
data_Pd7AuS2
_chemical_formula_sum 'Pd7 Au1 S2'
_cell_length_a 3.016
_cell_length_b 8.605
_cell_length_c 8.606
_cell_angle_alpha 129.74
_cell_angle_beta 90.00
_cell_angle_gamma 90.00
_symmetry_space_group_name_H-M 'P 1'
_symmetry_Int_Tables_number 1
_symmetry_space_group_name_Hall 'P 1'
loop_
_atom_site_label
_atom_site_fract_x
_atom_site_fract_y
_atom_site_fract_z
Pd1 0.000 0.760 0.240
Pd2 0.000 0.240 0.760
Pd3 0.500 0.076 0.314
Pd4 0.500 0.924 0.686
Pd5 0.500 0.314 0.076
Pd6 0.500 0.686 0.924
Pd7 0.500 0.500 0.500
Au1 0.000 0.000 0.000
S1 0.500 0.649 0.351
S2 0.500 0.351 0.649
```

Results
Raw total energy ... -0.355 Ry/atom

Computed, not measured: a relaxed structure of Pd3AuS at the PBE-GGA level of DFT.

Cell and atoms, written as CIF:
```
data_Pd3AuS
_chemical_formula_sum 'Pd6 Au2 S2'
_cell_length_a 4.680
_cell_length_b 6.300
_cell_length_c 5.746
_cell_angle_alpha 90.00
_cell_angle_beta 90.00
_cell_angle_gamma 90.00
_symmetry_space_group_name_H-M 'P 1'
_symmetry_Int_Tables_number 1
_symmetry_space_group_name_Hall 'P 1'
loop_
_atom_site_label
_atom_site_fract_x
_atom_site_fract_y
_atom_site_fract_z
Pd1 0.432 0.308 0.201
Pd2 0.439 0.905 0.954
Pd3 0.939 0.448 0.454
Pd4 0.932 0.045 0.701
Pd5 0.939 0.448 0.947
Pd6 0.439 0.905 0.447
Au1 0.438 0.300 0.701
Au2 0.938 0.053 0.201
S1 0.131 0.712 0.701
S2 0.631 0.641 0.201
```

Results
Relative energy among the computed polymorphs ... 0.000 eV per atom

Computed, not measured: a relaxed structure of Pd3AuS at the PBE-GGA level of DFT.

Cell and atoms, written as CIF:
```
data_Pd3AuS
_chemical_formula_sum 'Pd3 Au1 S1'
_cell_length_a 4.474
_cell_length_b 4.474
_cell_length_c 4.474
_cell_angle_alpha 90.00
_cell_angle_beta 90.00
_cell_angle_gamma 90.00
_symmetry_space_group_name_H-M 'P 1'
_symmetry_Int_Tables_number 1
_symmetry_space_group_name_Hall 'P 1'
loop_
_atom_site_label
_atom_site_fract_x
_atom_site_fract_y
_atom_site_fract_z
S1 0.000 0.000 0.000
Au1 0.500 0.500 0.500
Pd1 0.000 0.500 0.000
Pd2 0.000 0.000 0.500
Pd3 0.500 0.000 0.000
```

Results
Relative energy among the computed polymorphs ... 0.064 eV per atom

Calculated density in order - 9.36; 14.79; 9.36; 12.03; 11.87; 11.06; 7.49; 7.12; 10.80; 9.73; 10.75; 10.17 Mg/m³
Calculated V in order - 25.9; 18.0; 23.7; 17.1; 17.9; 16.4; 24.3; 21.4; 17.0; 17.2; 16.9; 17.9 Å³/atom